(1)
Entry from Alexandria: a geometry-optimized LiGaIr2 structure (PBE).

energy of formation	-0.86	eV per formula unit

```
LiGaIr2
1.0
3.026 0.000 0.000
0.000 3.026 0.000
0.000 0.000 5.812
Ir Ga Li
2 1 1
Cartesian
0.000 0.000 4.399
0.000 0.000 1.413
1.513 1.513 2.906
1.513 1.513 0.000
```

=====

(2)
Entry from Alexandria: a geometry-optimized LiGaIr2 structure (PBE).

energy of formation	-1.21	eV per formula unit

```
LiGaIr2
1.0
7.866 0.000 0.000
0.000 5.298 0.000
0.000 0.000 5.369
Ir Li Ga
8 4 4
Cartesian
1.967 3.973 0.000
5.900 3.973 2.684
3.933 0.000 1.342
1.967 1.324 2.684
0.000 2.649 1.342
0.000 2.649 4.026
5.900 1.324 0.000
3.933 0.000 4.026
3.933 2.649 1.342
3.933 2.649 4.026
0.000 0.000 1.342
0.000 0.000 4.026
5.900 1.324 2.684
1.967 1.324 0.000
5.900 3.973 0.000
1.967 3.973 2.684
```

=====

(3)
Entry from Alexandria: a geometry-optimized Li2Ga8Ir structure (PBE).

energy of formation	-2.65	eV per formula unit

```
Li2Ga8Ir
1.0
4.092 0.000 0.000
0.000 5.512 -0.695
-2.046 -3.332 8.893
Ga Li Ir
8 2 1
Cartesian
0.000 0.539 6.218
0.000 1.514 -0.060
0.000 0.336 3.417
2.046 1.641 1.980
0.000 -2.115 6.639
2.046 1.845 4.782
2.046 0.666 8.258
2.046 4.296 1.560
0.000 3.087 3.063
2.046 -0.907 5.135
2.046 0.000 0.000
```

=====

(4)
Entry from Alexandria: a geometry-optimized Li4GaIr structure (PBE).

energy of formation	-1.51	eV per formula unit
energy relative to the lowest polymorph listed for this composition	0.0	kJ per mole of atoms

```
Li4GaIr
1.0
4.561 0.006 1.060
-2.422 3.891 1.035
0.156 0.273 4.946
Li Ir Ga
4 1 1
Cartesian
1.096 3.390 4.048
1.170 0.801 3.009
2.218 2.579 1.583
-0.110 1.339 0.527
3.413 2.099 4.058
2.265 0.014 0.537
```